An optimized crystal structure of OsPbI2O, computed with GGA-PBE.

Cell lengths 4.904, 4.904, 4.819 Å; angles 90.00, 90.00, 90.00 degrees
Space group P4/mmm (No. 123)
One atom of each set of equivalent atoms:
Os 0.000 0.000 0.000 (multiplicity 1)
Pb 0.500 0.500 0.000 (multiplicity 1)
I 0.000 0.500 0.500 (multiplicity 2)
O 0.500 0.500 0.500 (multiplicity 1)

Output
DFT total energy	-3.38	eV/atom
crystal system	tetragonal
ΔE_f (raw)	1.22	eV per atom
total magnetization	0.0	Bohr magnetons per cell